Entry 1:
First-principles (PBE) data for an optimized crystal structure of Li2TiTcAg, as listed in Alexandria via LeMat-Bulk.

Cell and atoms, written as CIF:
```
data_Li2TiTcAg
_chemical_formula_sum 'Li2 Ti1 Tc1 Ag1'
_symmetry_space_group_name_H-M 'P 4/m m m'
_symmetry_Int_Tables_number 123
_symmetry_space_group_name_Hall '-P 4 2'
_cell_length_a 4.382
_cell_length_b 4.382
_cell_length_c 4.736
_cell_angle_alpha 90.00
_cell_angle_beta 90.00
_cell_angle_gamma 90.00
loop_
_atom_site_label
_atom_site_type_symbol
_atom_site_fract_x
_atom_site_fract_y
_atom_site_fract_z
Li1 Li 0.000 0.500 0.000
Ti1 Ti 0.000 0.000 0.000
Tc1 Tc 0.500 0.500 0.500
Ag1 Ag 0.000 0.000 0.500
```

Values from the calculation:
crystal system: tetragonal
calculated formation energy: 1.639 eV per atom

Entry 2:
First-principles (PBE) data for an optimized crystal structure of NiRh2Cl, as listed in Alexandria via LeMat-Bulk.

Cell and atoms, written as CIF:
```
data_NiRh2Cl
_chemical_formula_sum 'Ni2 Rh4 Cl2'
_symmetry_space_group_name_H-M 'C m m m'
_symmetry_Int_Tables_number 65
_symmetry_space_group_name_Hall '-C 2 2'
_cell_length_a 5.920
_cell_length_b 6.767
_cell_length_c 2.812
_cell_angle_alpha 90.00
_cell_angle_beta 90.00
_cell_angle_gamma 90.00
loop_
_atom_site_label
_atom_site_type_symbol
_atom_site_fract_x
_atom_site_fract_y
_atom_site_fract_z
Ni1 Ni 0.000 0.000 0.000
Rh1 Rh 0.250 0.250 0.500
Cl1 Cl 0.000 0.500 0.000
```

Values from the calculation:
crystal system: orthorhombic
energy relative to the lowest polymorph listed for this composition: 337 meV per atom

Entry 3:
First-principles (PBE) data for an optimized crystal structure of TbPm3Os8, as listed in Alexandria via LeMat-Bulk.

Cell and atoms, written as CIF:
```
data_TbPm3Os8
_chemical_formula_sum 'Tb3 Pm9 Os24'
_symmetry_space_group_name_H-M 'R 3 m'
_symmetry_Int_Tables_number 160
_symmetry_space_group_name_Hall 'R 3 -2"'
_cell_length_a 5.4082
_cell_length_b 5.4082
_cell_length_c 26.5293
_cell_angle_alpha 90.00
_cell_angle_beta 90.00
_cell_angle_gamma 120.00
loop_
_atom_site_label
_atom_site_type_symbol
_atom_site_fract_x
_atom_site_fract_y
_atom_site_fract_z
Tb1 Tb 0.0000 0.0000 0.0000
Pm1 Pm 0.0000 0.0000 0.3752
Pm2 Pm 0.0000 0.0000 0.5004
Pm3 Pm 0.0000 0.0000 0.8750
Os1 Os 0.0000 0.0000 0.1860
Os2 Os 0.0000 0.0000 0.6858
Os3 Os 0.0008 0.5004 0.4366
Os4 Os 0.0042 0.5021 0.9381
```

Values from the calculation:
crystal system: trigonal
calculated formation energy: -0.155 eV per atom

Entry 4:
First-principles (PBE) data for an optimized crystal structure of RbNaPt2, as listed in Alexandria via LeMat-Bulk.

Cell and atoms, written as CIF:
```
data_RbNaPt2
_chemical_formula_sum 'Rb4 Na4 Pt8'
_symmetry_space_group_name_H-M 'I 41/a m d'
_symmetry_Int_Tables_number 141
_cell_length_a 5.044
_cell_length_b 5.044
_cell_length_c 19.835
_cell_angle_alpha 90.00
_cell_angle_beta 90.00
_cell_angle_gamma 90.00
loop_
_symmetry_equiv_pos_as_xyz
'x,y,z'
'-x,-y,-z'
'-y+1/4,x+3/4,z+1/4'
'y+1/4,-x+3/4,-z+1/4'
'-x+1/2,-y,z+1/2'
'x+1/2,y,-z+1/2'
'y+1/4,-x+1/4,z+3/4'
'-y+1/4,x+1/4,-z+3/4'
'x,-y,-z'
'-x,y,z'
'-y+1/4,-x+1/4,-z+3/4'
'y+1/4,x+1/4,z+3/4'
'-x+1/2,y,-z+1/2'
'x+1/2,-y,z+1/2'
'y+1/4,x+3/4,-z+1/4'
'-y+1/4,-x+3/4,z+1/4'
'x+1/2,y+1/2,z+1/2'
'-x+1/2,-y+1/2,-z+1/2'
'-y+3/4,x+1/4,z+3/4'
'y+3/4,-x+1/4,-z+3/4'
'-x,-y+1/2,z'
'x,y+1/2,-z'
'y+3/4,-x+3/4,z+1/4'
'-y+3/4,x+3/4,-z+1/4'
'x+1/2,-y+1/2,-z+1/2'
'-x+1/2,y+1/2,z+1/2'
'-y+3/4,-x+3/4,-z+1/4'
'y+3/4,x+3/4,z+1/4'
'-x,y+1/2,-z'
'x,-y+1/2,z'
'y+3/4,x+1/4,-z+3/4'
'-y+3/4,-x+1/4,z+3/4'
loop_
_atom_site_label
_atom_site_type_symbol
_atom_site_fract_x
_atom_site_fract_y
_atom_site_fract_z
Rb1 Rb 0.000 0.250 0.375
Na1 Na 0.000 0.250 0.875
Pt1 Pt 0.000 0.000 0.000
```

Values from the calculation:
crystal system: tetragonal
energy relative to the lowest polymorph listed for this composition: 0 meV per atom
calculated formation energy: 0.159 eV per atom

no.,DOS(E_F) (states/eV per cell)
1,7.4
2,13.6
3,39.8
4,9.3